This record from Alexandria via LeMat-Bulk describes a geometry-optimized TaSiPb2Se structure. The functional is PBE-GGA.

Cell: 5.4006 5.4006 4.8749 Å, 90.00 90.00 90.00°
Atoms (fractional coordinates):
Ta  0.0000  0.0000  0.0000
Si  0.0000  0.0000  0.5000
Pb  0.0000  0.5000  0.5000
Pb  0.5000  0.0000  0.5000
Se  0.5000  0.5000  0.0000

Properties
The value obtained for the total DFT energy (no corrections) is -23.770 eV/cell. The theoretical density comes out at 8203 kg/m³. The value obtained for the formation energy without anion corrections is 0.88 eV per atom. As for the symmetry: P4/mmm (123).